Entry from the Alexandria database: a geometry-optimized CrHNF2 structure (PBE+U).

## Properties
For the energy above the most stable polymorph in this dataset, the calculation gives 383 meV/atom. Its space group is No. 123.

Lattice parameters (Å, degrees): 4.140 4.140 2.722 90.00 90.00 90.00
Fractional coordinates of all 5 atoms:
Cr 0.000 0.000 0.000
H 0.500 0.500 0.500
N 0.500 0.500 0.000
F 0.000 0.500 0.500
F 0.500 0.000 0.500